1.
Compound: NbAgGe2
Source: the Alexandria database
Functional: PBE
Structure: relaxed

Summary:
The formation energy comes out at 0.3615 eV per atom. Its calculated volume is 149.8 Å³/cell. Its total energy is -41.4 eV per cell.

Cell lengths 5.832, 5.832, 5.832 Å; angles 105.16, 105.16, 118.49 degrees
Positions (direct):
Nb 0.000 0.000 0.000
Nb 0.750 0.250 0.500
Ag 0.250 0.750 0.500
Ag 0.500 0.500 0.000
Ge 0.135 0.625 0.010
Ge 0.375 0.385 0.510
Ge 0.615 0.125 0.990
Ge 0.875 0.865 0.490

=====

2.
Compound: NbAg3Ge
Source: the Alexandria database
Functional: PBE
Structure: relaxed

Summary:
The formation energy comes out at 0.9411 eV per atom. Its calculated volume is 111.9 Å³/cell. Its total energy is -18.5 eV per cell.

Cell lengths 4.819, 4.819, 4.819 Å; angles 90.00, 90.00, 90.00 degrees
Positions (direct):
Nb 0.000 0.000 0.000
Ag 0.000 0.500 0.500
Ag 0.500 0.000 0.500
Ag 0.500 0.500 0.000
Ge 0.500 0.500 0.500

=====

3.
Compound: NbAg3Ge
Source: the Alexandria database
Functional: PBE
Structure: relaxed

Summary:
The formation energy comes out at 1.5312 eV per atom. Its calculated volume is 138.0 Å³/cell. Its total energy is -15.6 eV per cell.

Cell lengths 5.167, 5.167, 5.167 Å; angles 90.00, 90.00, 90.00 degrees
Positions (direct):
Nb 0.000 0.000 0.000
Ag 0.000 0.000 0.500
Ag 0.000 0.500 0.000
Ag 0.500 0.000 0.000
Ge 0.500 0.500 0.500

=====

4.
Compound: NbAgGe2
Source: the Alexandria database
Functional: PBE
Structure: relaxed

Summary:
The formation energy comes out at 0.2378 eV per atom. Its calculated volume is 69.8 Å³/cell. Its total energy is -21.2 eV per cell.

Cell lengths 4.621, 4.621, 4.621 Å; angles 60.00, 60.00, 60.00 degrees
Positions (direct):
Nb 0.000 0.000 0.000
Ag 0.500 0.500 0.500
Ge 0.250 0.250 0.250
Ge 0.750 0.750 0.750

=====

5.
Compound: NbAg2Ge2
Source: the Alexandria database
Functional: PBE
Structure: relaxed

Summary:
The formation energy comes out at 0.2009 eV per atom. Its calculated volume is 178.3 Å³/cell. Its total energy is -48.0 eV per cell.

Cell lengths 7.514, 7.514, 3.157 Å; angles 90.00, 90.00, 90.00 degrees
Positions (direct):
Nb 0.000 0.000 0.000
Nb 0.500 0.500 0.000
Ag 0.137 0.363 0.500
Ag 0.363 0.863 0.500
Ag 0.637 0.137 0.500
Ag 0.863 0.637 0.500
Ge 0.164 0.664 0.000
Ge 0.336 0.164 0.000
Ge 0.664 0.836 0.000
Ge 0.836 0.336 0.000

=====

6.
Compound: Nb3AgGe
Source: the Alexandria database
Functional: PBE
Structure: relaxed

Summary:
The formation energy comes out at 0.9292 eV per atom. Its calculated volume is 108.4 Å³/cell. Its total energy is -33.0 eV per cell.

Cell lengths 4.768, 4.768, 4.768 Å; angles 90.00, 90.00, 90.00 degrees
Positions (direct):
Nb 0.000 0.000 0.500
Nb 0.000 0.500 0.000
Nb 0.500 0.000 0.000
Ag 0.500 0.500 0.500
Ge 0.000 0.000 0.000

=====

7.
Compound: NbAgGe
Source: the Alexandria database
Functional: PBE
Structure: relaxed

Summary:
The formation energy comes out at 0.0846 eV per atom. Its calculated volume is 107.9 Å³/cell. Its total energy is -34.6 eV per cell.

Cell lengths 14.214, 3.048, 3.048 Å; angles 54.85, 90.00, 90.00 degrees
Positions (direct):
Nb 0.000 0.000 0.000
Nb 0.500 0.136 0.136
Ag 0.173 0.326 0.326
Ag 0.827 0.326 0.326
Ge 0.344 0.821 0.821
Ge 0.656 0.821 0.821

=====

8.
Compound: Nb3AgGe
Source: the Alexandria database
Functional: PBE
Structure: relaxed

Summary:
The formation energy comes out at 1.7158 eV per atom. Its calculated volume is 117.8 Å³/cell. Its total energy is -29.1 eV per cell.

Cell lengths 4.902, 4.902, 4.902 Å; angles 90.00, 90.00, 90.00 degrees
Positions (direct):
Nb 0.000 0.000 0.500
Nb 0.000 0.500 0.000
Nb 0.500 0.000 0.000
Ag 0.000 0.000 0.000
Ge 0.500 0.500 0.500

=====

9.
Compound: NbAgGe2O
Source: the Alexandria database
Functional: PBE
Structure: relaxed

Summary:
Its calculated volume is 81.4 Å³/cell. Its total energy is -26.0 eV per cell. The uncorrected formation energy is 0.22 eV per atom.

Cell lengths 4.394, 4.394, 4.214 Å; angles 90.00, 90.00, 90.00 degrees
Positions (direct):
Nb 0.000 0.000 0.000
Ag 0.500 0.500 0.000
Ge 0.000 0.500 0.500
Ge 0.500 0.000 0.500
O 0.500 0.500 0.500

=====

10.
Compound: NbAgGe2O8
Source: the Alexandria database
Functional: PBE
Structure: relaxed

Summary:
Its calculated volume is 142.4 Å³/cell. Its total energy is -78.2 eV per cell. The uncorrected formation energy is -1.36 eV per atom.

Cell lengths 5.698, 5.698, 5.698 Å; angles 109.15, 109.15, 110.11 degrees
Positions (direct):
Nb 0.000 0.000 0.000
Ag 0.250 0.750 0.500
Ge 0.500 0.500 0.000
Ge 0.750 0.250 0.500
O 0.295 0.116 0.820
O 0.295 0.475 0.180
O 0.371 0.075 0.296
O 0.525 0.705 0.820
O 0.780 0.075 0.704
O 0.884 0.705 0.180
O 0.925 0.220 0.296
O 0.925 0.629 0.704

=====

11.
Compound: Nb2AgGeSb
Source: the Alexandria database
Functional: PBE
Structure: relaxed

Summary:
Its calculated volume is 138.0 Å³/cell. Its total energy is -24.2 eV per cell. The uncorrected formation energy is 1.50 eV per atom.

Cell lengths 5.135, 5.135, 5.235 Å; angles 90.00, 90.00, 90.00 degrees
Positions (direct):
Nb 0.000 0.500 0.000
Nb 0.500 0.000 0.000
Ag 0.000 0.000 0.500
Ge 0.500 0.500 0.500
Sb 0.500 0.500 0.000

=====

12.
Compound: Zr2NbAgGe
Source: the Alexandria database
Functional: PBE
Structure: relaxed

Summary:
The formation energy comes out at 1.1369 eV per atom. Its calculated volume is 128.5 Å³/cell. Its total energy is -29.0 eV per cell.

Cell lengths 5.093, 5.093, 4.952 Å; angles 90.00, 90.00, 90.00 degrees
Positions (direct):
Zr 0.000 0.500 0.000
Zr 0.500 0.000 0.000
Nb 0.000 0.000 0.500
Ag 0.000 0.000 0.000
Ge 0.500 0.500 0.500

=====

13.
Compound: Nd4AgGe3
Source: the Alexandria database
Functional: PBE
Structure: relaxed

Summary:
The formation energy comes out at -0.6737 eV per atom. Its calculated volume is 209.0 Å³/cell. Its total energy is -41.2 eV per cell.

Cell lengths 4.200, 4.393, 11.330 Å; angles 90.00, 90.00, 90.00 degrees
Positions (direct):
Nd 0.000 0.000 0.000
Nd 0.000 0.500 0.492
Nd 0.500 0.000 0.716
Nd 0.500 0.500 0.221
Ag 0.000 0.500 0.787
Ge 0.000 0.000 0.275
Ge 0.500 0.000 0.438
Ge 0.500 0.500 0.945

=====

14.
Compound: NdAg6Ge2
Source: the Alexandria database
Functional: PBE
Structure: relaxed

Summary:
The formation energy comes out at -0.1876 eV per atom. Its calculated volume is 175.9 Å³/cell. Its total energy is -32.8 eV per cell.

Cell lengths 4.282, 4.282, 9.590 Å; angles 90.00, 90.00, 90.00 degrees
Positions (direct):
Nd 0.000 0.000 0.000
Ag 0.000 0.000 0.500
Ag 0.000 0.500 0.291
Ag 0.000 0.500 0.709
Ag 0.500 0.000 0.291
Ag 0.500 0.000 0.709
Ag 0.500 0.500 0.500
Ge 0.500 0.500 0.127
Ge 0.500 0.500 0.873

=====

15.
Compound: Nd2Ag3Ge2
Source: the Alexandria database
Functional: PBE
Structure: relaxed

Summary:
The formation energy comes out at -0.3618 eV per atom. Its calculated volume is 160.9 Å³/cell. Its total energy is -29.9 eV per cell.

Cell lengths 10.136, 10.136, 4.186 Å; angles 90.00, 90.00, 158.03 degrees
Positions (direct):
Nd 0.163 0.837 0.000
Nd 0.837 0.163 0.000
Ag 0.000 0.000 0.000
Ag 0.432 0.568 0.500
Ag 0.568 0.432 0.500
Ge 0.291 0.709 0.500
Ge 0.709 0.291 0.500

=====

16.
Compound: NdAgGe
Source: the Alexandria database
Functional: PBE
Structure: relaxed

Summary:
The formation energy comes out at -0.2027 eV per atom. Its calculated volume is 73.2 Å³/cell. Its total energy is -12.8 eV per cell.

Cell lengths 5.219, 5.219, 5.219 Å; angles 133.63, 133.63, 67.67 degrees
Positions (direct):
Nd 0.000 0.000 0.000
Ag 0.342 0.342 0.000
Ge 0.656 0.656 0.000

=====

17.
Compound: Nd2AgGe2
Source: the Alexandria database
Functional: PBE
Structure: relaxed

Summary:
The formation energy comes out at -0.6110 eV per atom. Its calculated volume is 119.2 Å³/cell. Its total energy is -24.7 eV per cell.

Cell lengths 5.884, 5.884, 5.884 Å; angles 136.92, 118.08, 78.40 degrees
Positions (direct):
Nd 0.208 0.208 0.000
Nd 0.792 0.792 0.000
Ag 0.500 0.000 0.500
Ge 0.218 0.500 0.718
Ge 0.782 0.500 0.282

=====

18.
Compound: Nd4AgGe
Source: the Alexandria database
Functional: PBE
Structure: relaxed

Summary:
The formation energy comes out at -0.1493 eV per atom. Its calculated volume is 377.9 Å³/cell. Its total energy is -54.9 eV per cell.

Cell lengths 11.099, 11.099, 6.406 Å; angles 90.00, 90.00, 151.39 degrees
Positions (direct):
Nd 0.062 0.938 0.500
Nd 0.210 0.790 0.746
Nd 0.213 0.787 0.263
Nd 0.378 0.622 0.509
Nd 0.622 0.378 0.009
Nd 0.787 0.213 0.763
Nd 0.790 0.210 0.246
Nd 0.938 0.062 0.000
Ag 0.077 0.923 0.001
Ag 0.923 0.077 0.501
Ge 0.343 0.657 0.004
Ge 0.657 0.343 0.504

=====

19.
Compound: NdAg3Ge3
Source: the Alexandria database
Functional: PBE
Structure: relaxed

Summary:
The formation energy comes out at 0.2750 eV per atom. Its calculated volume is 353.4 Å³/cell. Its total energy is -50.5 eV per cell.

Cell lengths 7.070, 7.070, 7.070 Å; angles 90.00, 90.00, 90.00 degrees
Positions (direct):
Nd 0.000 0.000 0.000
Nd 0.500 0.500 0.500
Ag 0.000 0.250 0.500
Ag 0.000 0.750 0.500
Ag 0.250 0.500 0.000
Ag 0.500 0.000 0.250
Ag 0.500 0.000 0.750
Ag 0.750 0.500 0.000
Ge 0.000 0.500 0.250
Ge 0.000 0.500 0.750
Ge 0.250 0.000 0.500
Ge 0.500 0.250 0.000
Ge 0.500 0.750 0.000
Ge 0.750 0.000 0.500

=====

20.
Compound: NdAg3Ge2
Source: the Alexandria database
Functional: PBE
Structure: relaxed

Summary:
The formation energy comes out at -0.3025 eV per atom. Its calculated volume is 245.6 Å³/cell. Its total energy is -48.7 eV per cell.

Cell lengths 8.398, 8.398, 7.795 Å; angles 115.61, 115.61, 29.97 degrees
Positions (direct):
Nd 0.145 0.145 0.065
Nd 0.855 0.855 0.935
Ag 0.049 0.049 0.387
Ag 0.313 0.313 0.554
Ag 0.393 0.393 0.294
Ag 0.607 0.607 0.706
Ag 0.687 0.687 0.446
Ag 0.951 0.951 0.613
Ge 0.205 0.205 0.729
Ge 0.483 0.483 0.832
Ge 0.517 0.517 0.168
Ge 0.795 0.795 0.271